Density functional theory data (PBE-GGA) for a relaxed structure of ErTmZnTc.

Energy of formation from the pure elements: -0.74 eV/f.u.
Symmetry: F-43m, No. 216
Magnetization: 0.000 μB per atom
DOS(E_F): 2.83 states/eV/f.u.
Final energy: -5.3537 eV per atom

a = 4.8716 Å, b = 4.8716 Å, c = 4.8716 Å
α = 60.00°, β = 60.00°, γ = 60.00°
Fractional positions:
Zn 0.0000 0.0000 0.0000
Tm 0.2500 0.2500 0.2500
Tc 0.5000 0.5000 0.5000
Er 0.7500 0.7500 0.7500

***

Density functional theory data (PBE-GGA) for a relaxed structure of Pm2Ag5Hg3.

Energy of formation from the pure elements: -1.47 eV/f.u.
Symmetry: Ibam, No. 72
Magnetization: 0.000 μB per atom
DOS(E_F): 4.91 states/eV/f.u.
Final energy: -2.6135 eV per atom

a = 5.8963 Å, b = 9.4080 Å, c = 9.4080 Å
α = 90.96°, β = 71.74°, γ = 71.74°
Fractional positions:
Pm 0.1248 0.6311 0.1194
Pm 0.6248 0.1194 0.6311
Pm 0.8752 0.3689 0.8806
Pm 0.3752 0.8806 0.3689
Ag 0.3662 0.2792 0.9884
Ag 0.8662 0.9884 0.2792
Ag 0.6338 0.7208 0.0116
Ag 0.1338 0.0116 0.7208
Ag 0.5038 0.7462 0.7462
Ag 0.4962 0.2538 0.2538
Ag 0.7500 0.5000 0.5000
Ag 0.2500 0.5000 0.5000
Ag 0.9962 0.2538 0.2538
Ag 0.0038 0.7462 0.7462
Hg 0.3783 0.4733 0.7702
Hg 0.8783 0.7702 0.4733
Hg 0.6217 0.5267 0.2298
Hg 0.1217 0.2298 0.5267
Hg 0.2500 0.0000 0.0000
Hg 0.7500 0.0000 0.0000

***

Density functional theory data (PBE-GGA) for a relaxed structure of La2InI2.

Uncorrected formation energy: -0.736 eV/atom
Symmetry: P4/mbm, No. 127
Magnetization: 0.000 μB per atom
DOS(E_F): 5.60 states/eV/f.u.
Final energy: -3.8751 eV per atom

a = 9.0492 Å, b = 9.0492 Å, c = 4.0666 Å
α = 90.00°, β = 90.00°, γ = 90.00°
Fractional positions:
I 0.1346 0.6346 0.5000
I 0.6346 0.8654 0.5000
I 0.8654 0.3654 0.5000
I 0.3654 0.1346 0.5000
In 0.0000 0.0000 0.0000
In 0.5000 0.5000 0.0000
La 0.3386 0.8386 0.0000
La 0.8386 0.6614 0.0000
La 0.6614 0.1614 0.0000
La 0.1614 0.3386 0.0000

***

Density functional theory data (PBE-GGA) for a relaxed structure of Zr2CdH.

Polymorph energy (0 for the lowest one): 104.5 meV/atom
Symmetry: R-3m, No. 166
Magnetization: 0.000 μB per atom
DOS(E_F): 4.52 states/eV/f.u.
Final energy: -5.4957 eV per atom

a = 3.1771 Å, b = 3.1771 Å, c = 8.1334 Å
α = 78.74°, β = 78.74°, γ = 60.00°
Fractional positions:
H 0.0000 0.0000 0.0000
Zr 0.2756 0.2756 0.1733
Zr 0.7244 0.7244 0.8267
Cd 0.5000 0.5000 0.5000

***

Density functional theory data (PBE-GGA) for a relaxed structure of BaY2.

Energy of formation from the pure elements: 2.68 eV/f.u.
Polymorph energy (0 for the lowest one): 731.5 meV/atom
Symmetry: P4/mmm, No. 123
Magnetization: 0.071 μB per atom
DOS(E_F): 5.06 states/eV/f.u.
Final energy: -4.0582 eV per atom

a = 5.7892 Å, b = 5.7892 Å, c = 3.9625 Å
α = 90.00°, β = 90.00°, γ = 90.00°
Fractional positions:
Ba 0.0000 0.0000 0.0000
Y 0.0000 0.5000 0.5000
Y 0.5000 0.0000 0.5000

***

Density functional theory data (PBE-GGA) for a relaxed structure of PmPr2ErSe5.

Uncorrected formation energy: -1.331 eV/atom
Symmetry: P4/mmm, No. 123
Magnetization: 0.000 μB per atom
DOS(E_F): 6.12 states/eV/f.u.
Final energy: -5.3635 eV per atom

a = 5.0936 Å, b = 5.0936 Å, c = 10.9136 Å
α = 90.00°, β = 90.00°, γ = 90.00°
Fractional positions:
Pm 0.0000 0.0000 0.0000
Pr 0.5000 0.5000 0.3175
Pr 0.5000 0.5000 0.6825
Er 0.0000 0.0000 0.5000
Se 0.0000 0.5000 0.5000
Se 0.5000 0.0000 0.5000
Se 0.0000 0.0000 0.7500
Se 0.0000 0.0000 0.2500
Se 0.5000 0.5000 0.0000

***

Density functional theory data (PBE-GGA) for a relaxed structure of ErSn3Au.

Energy of formation from the pure elements: -1.98 eV/f.u.
Symmetry: Pbcm, No. 57
Magnetization: 0.000 μB per atom
DOS(E_F): 2.37 states/eV/f.u.
Final energy: -4.3667 eV per atom

a = 6.2468 Å, b = 6.2487 Å, c = 12.5736 Å
α = 90.00°, β = 90.00°, γ = 90.00°
Fractional positions:
Er 0.7500 0.5095 0.6928
Er 0.2500 0.4905 0.3072
Er 0.7500 0.0095 0.3072
Er 0.2500 0.9905 0.6928
Sn 0.0000 0.2500 0.4997
Sn 0.5000 0.7500 0.5003
Sn 0.0000 0.7500 0.5003
Sn 0.5000 0.2500 0.4997
Sn 0.2500 0.1376 0.9314
Sn 0.7500 0.8624 0.0686
Sn 0.2500 0.6376 0.0686
Sn 0.7500 0.3624 0.9314
Sn 0.2500 0.4819 0.7391
Sn 0.7500 0.5181 0.2609
Sn 0.2500 0.9819 0.2609
Sn 0.7500 0.0181 0.7391
Au 0.5000 0.2500 0.1176
Au 0.0000 0.7500 0.8824
Au 0.5000 0.7500 0.8824
Au 0.0000 0.2500 0.1176

***

Density functional theory data (PBE-GGA) for a relaxed structure of PmHo2Sb.

Uncorrected formation energy: -0.469 eV/atom
Polymorph energy (0 for the lowest one): 88.8 meV/atom
Symmetry: P4/mmm, No. 123
Magnetization: 0.000 μB per atom
DOS(E_F): 4.24 states/eV/f.u.
Final energy: -4.9761 eV per atom

a = 3.9748 Å, b = 3.9748 Å, c = 7.3737 Å
α = 90.00°, β = 90.00°, γ = 90.00°
Fractional positions:
Sb 0.5000 0.5000 0.5000
Ho 0.0000 0.0000 0.7186
Ho 0.0000 0.0000 0.2814
Pm 0.5000 0.5000 0.0000

***

- Which of these has the highest DOS(E_F)?
  PmPr2ErSe5